Record 1
VASP calculation (GGA-PBE) on a relaxed structure of Rb7NaZn2O6.

**V**: 22.410 A^3/atom
**Raw formation energy**: -1.194 eV/atom
**Crystal system**: triclinic
**Total magnetization**: 0.0000 μB/atom

Unit cell a=7.138 b=9.586 c=11.519 alpha=105.94 beta=92.34 gamma=107.29
Fractional coordinates of all 32 atoms:
Rb1 0.455 0.483 0.678
Rb2 0.039 0.333 0.402
Rb3 0.035 0.866 0.368
Rb4 0.545 0.517 0.322
Rb5 0.941 0.477 0.817
Rb6 0.559 0.339 0.021
Rb7 0.059 0.523 0.183
Rb8 0.478 0.124 0.691
Rb9 0.965 0.134 0.632
Rb10 0.522 0.876 0.309
Rb11 0.961 0.667 0.598
Rb12 0.441 0.661 0.979
Rb13 0.206 0.930 0.914
Rb14 0.794 0.070 0.086
Zn1 0.571 0.247 0.443
Zn2 0.910 0.752 0.063
Zn3 0.090 0.248 0.937
Zn4 0.429 0.753 0.557
O1 0.725 0.667 0.162
O2 0.291 0.171 0.449
O3 0.810 0.174 0.876
O4 0.709 0.829 0.551
O5 0.275 0.333 0.838
O6 0.184 0.246 0.097
O7 0.353 0.775 0.719
O8 0.647 0.225 0.281
O9 0.816 0.754 0.903
O10 0.237 0.657 0.414
O11 0.763 0.343 0.586
O12 0.190 0.826 0.124
Na1 0.303 0.111 0.216
Na2 0.697 0.889 0.784



Record 2
VASP calculation (GGA-PBE) on a relaxed structure of Rb2NaZrO.

**V**: 34.535 A^3/atom
**Raw formation energy**: 0.326 eV/atom
**Crystal system**: tetragonal
**Total magnetization**: 0.6926 μB/atom

Unit cell a=6.318 b=4.326 c=6.318 alpha=90.00 beta=90.00 gamma=90.00
Fractional coordinates of all 5 atoms:
Zr1 0.500 0.500 0.500
O1 0.000 0.000 0.000
Rb1 0.500 0.000 0.000
Rb2 0.000 0.000 0.500
Na1 0.000 0.500 0.000



Record 3
VASP calculation (GGA-PBE) on a relaxed structure of Rb2NaZr3O8.

**V**: 18.645 A^3/atom
**Raw formation energy**: -2.550 eV/atom
**Crystal system**: trigonal
**Total magnetization**: 0.0800 μB/atom

Unit cell a=6.623 b=6.623 c=7.864 alpha=65.10 beta=65.10 gamma=60.00
Fractional coordinates of all 14 atoms:
O1 0.273 0.273 0.182
O2 0.711 0.711 0.867
O3 0.749 0.314 0.189
O4 0.314 0.749 0.189
O5 0.686 0.219 0.876
O6 0.219 0.219 0.876
O7 0.749 0.749 0.189
O8 0.219 0.686 0.876
Rb1 0.136 0.136 0.593
Rb2 0.491 0.491 0.527
Zr1 0.493 0.992 0.023
Zr2 0.992 0.493 0.023
Zr3 0.493 0.493 0.023
Na1 0.969 0.969 0.092



Record 4
VASP calculation (GGA-PBE) on a relaxed structure of NaReO6.

**V**: 13.702 A^3/atom
**Raw formation energy**: -0.577 eV/atom
**Crystal system**: trigonal
**Total magnetization**: 0.5008 μB/atom

Unit cell a=4.790 b=4.790 c=4.790 alpha=92.31 beta=92.31 gamma=92.31
Fractional coordinates of all 8 atoms:
O1 0.234 0.618 0.234
O2 0.766 0.766 0.382
O3 0.382 0.766 0.766
O4 0.618 0.234 0.234
O5 0.234 0.234 0.618
O6 0.766 0.382 0.766
Na1 0.000 0.000 0.000
Re1 0.500 0.500 0.500



Record 5
VASP calculation (GGA-PBE) on a relaxed structure of Na2ReO4.

**V**: 16.729 A^3/atom
**Raw formation energy**: -1.621 eV/atom
**Crystal system**: monoclinic
**E above lowest polymorph**: 52 meV/atom
**Total magnetization**: 0.1444 μB/atom

Unit cell a=6.034 b=6.184 c=6.487 alpha=90.00 beta=104.63 gamma=90.00
Fractional coordinates of all 14 atoms:
O1 0.597 0.025 0.767
O2 0.993 0.750 0.340
O3 0.037 0.750 0.912
O4 0.963 0.250 0.088
O5 0.403 0.525 0.233
O6 0.597 0.475 0.767
O7 0.403 0.975 0.233
O8 0.007 0.250 0.660
Re1 0.799 0.250 0.815
Re2 0.201 0.750 0.185
Na1 0.661 0.750 0.032
Na2 0.339 0.250 0.968
Na3 0.762 0.750 0.573
Na4 0.238 0.250 0.427



Record 6
VASP calculation (GGA-PBE) on a relaxed structure of NaRe3O12.

**V**: 20.083 A^3/atom
**Raw formation energy**: -1.343 eV/atom
**Crystal system**: trigonal
**Total magnetization**: 0.1338 μB/atom

Unit cell a=9.721 b=9.721 c=9.652 alpha=59.76 beta=59.76 gamma=60.00
Fractional coordinates of all 32 atoms:
O1 0.610 0.990 0.411
O2 0.023 0.750 0.027
O3 0.334 0.020 0.349
O4 0.490 0.110 0.911
O5 0.990 0.990 0.411
O6 0.520 0.834 0.849
O7 0.020 0.297 0.349
O8 0.301 0.955 0.687
O9 0.455 0.801 0.187
O10 0.056 0.301 0.687
O11 0.200 0.023 0.027
O12 0.700 0.250 0.527
O13 0.556 0.455 0.187
O14 0.110 0.490 0.911
O15 0.801 0.556 0.187
O16 0.834 0.797 0.849
O17 0.955 0.056 0.687
O18 0.797 0.520 0.849
O19 0.297 0.334 0.349
O20 0.990 0.610 0.411
O21 0.750 0.200 0.027
O22 0.523 0.700 0.527
O23 0.490 0.490 0.911
O24 0.250 0.523 0.527
Re1 0.916 0.146 0.494
Re2 0.944 0.646 0.994
Re3 0.146 0.444 0.494
Re4 0.646 0.416 0.994
Re5 0.416 0.944 0.994
Re6 0.444 0.916 0.494
Na1 0.030 0.030 0.909
Na2 0.530 0.530 0.409



Record 7
VASP calculation (GGA-PBE) on a relaxed structure of Na2ReO5.

**V**: 15.499 A^3/atom
**Raw formation energy**: -1.467 eV/atom
**Crystal system**: orthorhombic
**Total magnetization**: 0.1277 μB/atom

Unit cell a=3.861 b=6.205 c=10.893 alpha=90.00 beta=90.00 gamma=108.13
Fractional coordinates of all 16 atoms:
Na1 0.862 0.725 0.062
Na2 0.862 0.725 0.438
Na3 0.138 0.275 0.562
Na4 0.138 0.275 0.938
Re1 0.828 0.656 0.750
Re2 0.172 0.344 0.250
O1 0.264 0.528 0.384
O2 0.678 0.355 0.250
O3 0.322 0.645 0.750
O4 0.959 0.919 0.647
O5 0.736 0.472 0.884
O6 0.041 0.081 0.353
O7 0.736 0.472 0.616
O8 0.959 0.919 0.853
O9 0.264 0.528 0.116
O10 0.041 0.081 0.147



Record 8
VASP calculation (GGA-PBE) on a relaxed structure of Na5ReO5.

**V**: 13.155 A^3/atom
**Raw formation energy**: -1.447 eV/atom
**Crystal system**: monoclinic
**Total magnetization**: 0.1820 μB/atom

Unit cell a=4.380 b=5.832 c=6.443 alpha=107.02 beta=90.00 gamma=112.05
Fractional coordinates of all 11 atoms:
O1 0.131 0.262 0.845
O2 0.141 0.281 0.289
O3 0.500 0.000 0.000
O4 0.859 0.719 0.711
O5 0.869 0.738 0.155
Na1 0.000 0.000 0.500
Na2 0.678 0.356 0.858
Na3 0.695 0.391 0.321
Na4 0.322 0.644 0.142
Na5 0.305 0.609 0.679
Re1 0.000 0.000 0.000



Record 9
VASP calculation (GGA-PBE) on a relaxed structure of Na2ReO6.

**V**: 15.356 A^3/atom
**Raw formation energy**: -1.045 eV/atom
**Crystal system**: tetragonal
**Total magnetization**: 0.3334 μB/atom

Unit cell a=5.180 b=5.180 c=10.301 alpha=90.00 beta=90.00 gamma=90.00
Fractional coordinates of all 18 atoms:
O1 0.179 0.821 0.130
O2 0.679 0.679 0.370
O3 0.743 0.743 0.000
O4 0.321 0.321 0.370
O5 0.321 0.321 0.630
O6 0.243 0.757 0.500
O7 0.179 0.821 0.870
O8 0.757 0.243 0.500
O9 0.821 0.179 0.130
O10 0.257 0.257 0.000
O11 0.821 0.179 0.870
O12 0.679 0.679 0.630
Na1 0.500 0.500 0.162
Na2 0.500 0.500 0.838
Na3 0.000 0.000 0.662
Na4 0.000 0.000 0.338
Re1 0.000 0.000 0.000
Re2 0.500 0.500 0.500



Record 10
VASP calculation (GGA-PBE) on a relaxed structure of Na2ReO4.

**V**: 13.026 A^3/atom
**Raw formation energy**: -1.673 eV/atom
**Crystal system**: tetragonal
**E above lowest polymorph**: 0 meV/atom
**Total magnetization**: 0.0684 μB/atom

Unit cell a=3.899 b=3.899 c=6.603 alpha=72.83 beta=72.83 gamma=90.00
Fractional coordinates of all 7 atoms:
Na1 0.347 0.347 0.306
Na2 0.653 0.653 0.694
Re1 0.000 0.000 0.000
O1 0.155 0.155 0.689
O2 0.500 0.000 0.000
O3 0.000 0.500 0.000
O4 0.845 0.845 0.311



Record 11
VASP calculation (GGA-PBE) on a relaxed structure of NaReO3.

**V**: 11.494 A^3/atom
**Raw formation energy**: -1.657 eV/atom
**Crystal system**: cubic
**Total magnetization**: 0.0000 μB/atom

Unit cell a=3.859 b=3.859 c=3.859 alpha=90.00 beta=90.00 gamma=90.00
Fractional coordinates of all 5 atoms:
Re1 0.000 0.000 0.000
Na1 0.500 0.500 0.500
O1 0.500 0.000 0.000
O2 0.000 0.500 0.000
O3 0.000 0.000 0.500



Record 12
VASP calculation (GGA-PBE) on a relaxed structure of NaReO4.

**V**: 19.602 A^3/atom
**Raw formation energy**: -1.811 eV/atom
**Crystal system**: monoclinic
**Total magnetization**: 0.0000 μB/atom

Unit cell a=12.386 b=6.914 c=6.429 alpha=90.00 beta=90.00 gamma=121.29
Fractional coordinates of all 24 atoms:
O1 0.624 0.111 0.275
O2 0.398 0.607 0.422
O3 0.110 0.994 0.358
O4 0.876 0.389 0.775
O5 0.831 0.557 0.351
O6 0.669 0.943 0.851
O7 0.898 0.107 0.078
O8 0.890 0.006 0.642
O9 0.102 0.893 0.922
O10 0.331 0.057 0.149
O11 0.610 0.494 0.142
O12 0.124 0.611 0.225
O13 0.376 0.889 0.725
O14 0.169 0.443 0.649
O15 0.602 0.393 0.578
O16 0.390 0.506 0.858
Na1 0.469 0.257 0.865
Na2 0.969 0.757 0.635
Na3 0.031 0.243 0.365
Na4 0.531 0.743 0.135
Re1 0.334 0.612 0.663
Re2 0.834 0.112 0.837
Re3 0.166 0.888 0.163
Re4 0.666 0.388 0.337



Record 13
VASP calculation (GGA-PBE) on a relaxed structure of NaReO3.

**V**: 11.115 A^3/atom
**Raw formation energy**: 1.070 eV/atom
**Crystal system**: cubic
**Total magnetization**: 0.3976 μB/atom

Unit cell a=3.816 b=3.816 c=3.816 alpha=90.00 beta=90.00 gamma=90.00
Fractional coordinates of all 5 atoms:
O1 0.000 0.500 0.000
O2 0.500 0.000 0.000
O3 0.000 0.000 0.500
Re1 0.500 0.500 0.500
Na1 0.000 0.000 0.000



Record 14
VASP calculation (GGA-PBE) on a relaxed structure of Na2ReO3.

**V**: 14.215 A^3/atom
**Raw formation energy**: -1.669 eV/atom
**Crystal system**: hexagonal
**Total magnetization**: 0.0000 μB/atom

Unit cell a=5.645 b=5.645 c=12.364 alpha=90.00 beta=90.00 gamma=120.00
Fractional coordinates of all 24 atoms:
Re1 0.000 0.000 0.656
Re2 0.000 0.000 0.344
Re3 0.000 0.000 0.156
Re4 0.000 0.000 0.844
Na1 0.667 0.333 0.250
Na2 0.333 0.667 0.750
Na3 0.667 0.333 0.750
Na4 0.333 0.667 0.250
Na5 0.333 0.667 0.500
Na6 0.333 0.667 0.000
Na7 0.667 0.333 0.000
Na8 0.667 0.333 0.500
O1 0.318 0.318 0.376
O2 0.318 0.000 0.876
O3 0.682 0.000 0.124
O4 0.682 0.682 0.624
O5 0.682 0.000 0.376
O6 0.000 0.318 0.624
O7 0.318 0.318 0.124
O8 0.000 0.682 0.124
O9 0.000 0.318 0.876
O10 0.000 0.682 0.376
O11 0.682 0.682 0.876
O12 0.318 0.000 0.624



Record 15
VASP calculation (GGA-PBE) on a relaxed structure of NaRe4O12.

**V**: 13.084 A^3/atom
**Raw formation energy**: -1.631 eV/atom
**Crystal system**: cubic
**Total magnetization**: 0.0000 μB/atom

Unit cell a=6.611 b=6.611 c=6.611 alpha=109.47 beta=109.47 gamma=109.47
Fractional coordinates of all 17 atoms:
O1 0.000 0.248 0.752
O2 0.503 0.752 0.752
O3 0.248 0.497 0.248
O4 0.752 0.752 0.503
O5 0.248 0.000 0.752
O6 0.752 0.248 0.000
O7 0.248 0.248 0.497
O8 0.000 0.752 0.248
O9 0.497 0.248 0.248
O10 0.752 0.503 0.752
O11 0.248 0.752 0.000
O12 0.752 0.000 0.248
Re1 0.000 0.000 0.500
Re2 0.000 0.500 0.000
Re3 0.500 0.500 0.500
Re4 0.500 0.000 0.000
Na1 0.000 0.000 0.000



Record 16
VASP calculation (GGA-PBE) on a relaxed structure of NaRe2O8.

**V**: 21.342 A^3/atom
**Raw formation energy**: -1.434 eV/atom
**Crystal system**: monoclinic
**E above lowest polymorph**: 0 meV/atom
**Total magnetization**: 0.1028 μB/atom

Unit cell a=5.726 b=7.414 c=6.094 alpha=99.55 beta=90.00 gamma=112.72
Fractional coordinates of all 11 atoms:
Re1 0.153 0.306 0.635
Re2 0.847 0.694 0.365
O1 0.718 0.437 0.358
O2 0.282 0.563 0.642
O3 0.089 0.178 0.356
O4 0.911 0.822 0.644
O5 0.362 0.238 0.779
O6 0.638 0.762 0.221
O7 0.876 0.238 0.779
O8 0.124 0.762 0.221
Na1 0.000 0.000 0.000



Record 17
VASP calculation (GGA-PBE) on a relaxed structure of NaRe2O7.

**V**: 11.760 A^3/atom
**Raw formation energy**: -1.516 eV/atom
**Crystal system**: orthorhombic
**Total magnetization**: 0.0000 μB/atom

Unit cell a=3.781 b=5.905 c=5.905 alpha=116.87 beta=90.00 gamma=90.00
Fractional coordinates of all 10 atoms:
O1 0.000 0.693 0.307
O2 0.000 0.307 0.693
O3 0.500 0.961 0.670
O4 0.500 0.670 0.961
O5 0.500 0.330 0.039
O6 0.500 0.500 0.500
O7 0.500 0.039 0.330
Na1 0.000 0.000 0.000
Re1 0.500 0.308 0.692
Re2 0.500 0.692 0.308



Record 18
VASP calculation (GGA-PBE) on a relaxed structure of NaRe2O8.

**V**: 12.096 A^3/atom
**Raw formation energy**: -0.800 eV/atom
**Crystal system**: tetragonal
**E above lowest polymorph**: 634 meV/atom
**Total magnetization**: 0.0003 μB/atom

Unit cell a=4.716 b=4.716 c=5.982 alpha=90.00 beta=90.00 gamma=90.00
Fractional coordinates of all 11 atoms:
O1 0.750 0.250 0.192
O2 0.750 0.750 0.808
O3 0.750 0.250 0.808
O4 0.250 0.250 0.808
O5 0.250 0.750 0.808
O6 0.250 0.750 0.192
O7 0.750 0.750 0.192
O8 0.250 0.250 0.192
Na1 0.500 0.500 0.500
Re1 0.000 0.500 0.000
Re2 0.500 0.000 0.000